1.
A geometry-optimized Fe3MoOs structure, computed with PBE.

a b c (Å): 4.3918 4.3918 4.3918
angles (deg): 90.00 90.00 90.00
Last column: nearest neighbours and their distance in Å.
Atoms (fractional coordinates):
Fe 0.0000 0.0000 0.5000  2 Os 2.20
Fe 0.0000 0.5000 0.0000  2 Os 2.20
Fe 0.5000 0.0000 0.0000  2 Os 2.20
Mo 0.5000 0.5000 0.5000  12 Fe 3.11
Os 0.0000 0.0000 0.0000  6 Fe 2.20

Properties
The value obtained for the energy relative to the elements is 1.75 eV/atom. As for the crystal system: cubic. Its space-group type is Pm-3m, No. 221. The excess energy over the best structure of this formula in the dataset is 0.00 eV/f.u.



2.
A geometry-optimized KBrCl4 structure, computed with PBE.

a b c (Å): 6.1812 6.1812 6.1812
angles (deg): 60.00 60.00 60.00
Last column: nearest neighbours and their distance in Å.
Atoms (fractional coordinates):
K 0.0000 0.0000 0.0000  12 Cl 3.62, 4 Br 3.79
Br 0.7500 0.7500 0.7500  12 Cl 3.62, 4 K 3.79
Cl 0.3749 0.3749 0.3749  6 Cl 3.09
Cl 0.3749 0.3749 0.8754  6 Cl 3.09
Cl 0.3749 0.8754 0.3749  6 Cl 3.09
Cl 0.8754 0.3749 0.3749  6 Cl 3.09

Properties
As for the crystal system: cubic. Its space-group type is F-43m, No. 216. The excess energy over the best structure of this formula in the dataset is 3.47 eV/f.u. Its uncorrected formation energy is -0.06 eV per atom.



3.
A geometry-optimized ZnAg2Pb2 structure, computed with PBE.

a b c (Å): 7.0814 7.0814 4.7056
angles (deg): 90.00 90.00 90.00
Last column: nearest neighbours and their distance in Å.
Atoms (fractional coordinates):
Zn 0.0000 0.0000 0.0000  4 Ag 2.72
Zn 0.5000 0.5000 0.0000  4 Ag 2.72
Ag 0.1428 0.3572 0.0000  2 Zn 2.72, 1 Ag 2.86, 2 Pb 3.01
Ag 0.3572 0.8572 0.0000  2 Zn 2.72, 1 Ag 2.86, 2 Pb 3.01
Ag 0.6428 0.1428 0.0000  2 Zn 2.72, 1 Ag 2.86, 2 Pb 3.01
Ag 0.8572 0.6428 0.0000  2 Zn 2.72, 1 Ag 2.86, 2 Pb 3.01
Pb 0.1698 0.6698 0.5000  6 Ag 3.01-3.24
Pb 0.3302 0.1698 0.5000  6 Ag 3.01-3.24
Pb 0.6698 0.8302 0.5000  6 Ag 3.01-3.24
Pb 0.8302 0.3302 0.5000  6 Ag 3.01-3.24

Properties
The value obtained for the energy relative to the elements is 0.12 eV/atom. As for the crystal system: tetragonal. Its space-group type is P4/mbm, No. 127. The excess energy over the best structure of this formula in the dataset is 0.00 eV/f.u.



4.
A geometry-optimized Ba2SrAl structure, computed with PBE.

a b c (Å): 4.1575 4.1575 10.8216
angles (deg): 90.00 90.00 90.00
Last column: nearest neighbours and their distance in Å.
Atoms (fractional coordinates):
Ba 0.0000 0.0000 0.0000  4 Al 3.58, 1 Sr 3.80
Ba 0.5000 0.5000 0.3385  4 Ba 4.16, 4 Sr 4.47
Sr 0.0000 0.0000 0.6491  4 Al 3.43, 1 Ba 3.80
Al 0.5000 0.5000 0.8119  4 Sr 3.43, 4 Ba 3.58

Properties
The value obtained for the energy relative to the elements is -0.03 eV/atom. As for the crystal system: tetragonal. Its space-group type is P4mm, No. 99.